--- 1 ---
Computed, not measured: crystalline SrSi3Ir3 at its relaxed geometry at the PBE-GGA level of DFT.

Values from the calculation:
- total magnetic moment (μB per formula unit) = 0.00

abc: 6.6132 6.6132 6.6132
angles: 90.00 90.00 90.00
Last column: nearest neighbours and their distance in Å.
Space group Pm-3n (No. 223)
One atom of each set of equivalent atoms:
Sr: 0.0000 0.0000 0.0000 x2  12 Ir 3.70, 12 Si 3.70
Si: 0.0000 0.2500 0.5000 x6  4 Ir 2.34
Ir: 0.0000 0.5000 0.2500 x6  4 Si 2.34

---

--- 2 ---
Computed, not measured: crystalline SrSi3Ir3 at its relaxed geometry at the PBE-GGA level of DFT.

Values from the calculation:
- total magnetic moment (μB per formula unit) = 0.00

abc: 6.7513 6.7513 22.1881
angles: 90.00 90.00 120.00
Last column: nearest neighbours and their distance in Å.
Space group R-3 (No. 148, hexagonal axes)
One atom of each set of equivalent atoms:
Sr: 0.0000 0.0000 0.1690 x6  6 Si 3.22-3.31, 3 Ir 3.36
Si: 0.0238 0.7165 0.6000 x18  4 Ir 2.30-2.44
Ir: 0.0160 0.7082 0.7101 x18  4 Si 2.30-2.44

---

We find 1 to be the most stable, with the next structure 51 meV per atom higher.

---

--- 1 ---
Computed, not measured: crystalline TaSiIr3 at its relaxed geometry at the PBE-GGA level of DFT.

Values from the calculation:
- total magnetic moment (μB per formula unit) = 1.79

abc: 4.4033 4.4033 4.4033
angles: 90.00 90.00 90.00
Last column: nearest neighbours and their distance in Å.
Space group Pm-3m (No. 221)
One atom of each set of equivalent atoms:
Ta: 0.0000 0.0000 0.0000 x1  12 Ir 3.11
Si: 0.5000 0.5000 0.5000 x1  6 Ir 2.20
Ir: 0.0000 0.5000 0.5000 x3  2 Si 2.20

---

--- 2 ---
Computed, not measured: crystalline TaSiIr3 at its relaxed geometry at the PBE-GGA level of DFT.

Values from the calculation:
- total magnetic moment (μB per formula unit) = 0.00

abc: 4.7890 4.7890 4.7890
angles: 90.00 90.00 90.00
Last column: nearest neighbours and their distance in Å.
Space group Pm-3m (No. 221)
One atom of each set of equivalent atoms:
Ta: 0.0000 0.0000 0.0000 x1  6 Ir 2.39
Si: 0.5000 0.5000 0.5000 x1  12 Ir 3.39
Ir: 0.0000 0.0000 0.5000 x3  2 Ta 2.39

---

We find 1 to be the most stable, with the next structure 1041 meV per atom higher.

---

--- 1 ---
Computed, not measured: crystalline SiTcIr at its relaxed geometry at the PBE-GGA level of DFT.

Values from the calculation:
- total magnetic moment (μB per formula unit) = 0.00

abc: 2.9042 2.9042 9.6971
angles: 90.00 90.00 90.00
Last column: nearest neighbours and their distance in Å.
Space group I4mm (No. 107)
One atom of each set of equivalent atoms:
Si: 0.0000 0.0000 0.0000 x2  4 Tc 2.50, 4 Ir 2.53
Tc: 0.0000 0.0000 0.6473 x2  4 Si 2.50
Ir: 0.0000 0.0000 0.3485 x2  4 Si 2.53

---

--- 2 ---
Computed, not measured: crystalline SiTcIr at its relaxed geometry at the PBE-GGA level of DFT.

Values from the calculation:
- total magnetic moment (μB per formula unit) = 0.00

abc: 2.7884 3.8705 7.7657
angles: 90.00 90.00 90.00
Last column: nearest neighbours and their distance in Å.
Space group Imm2 (No. 44)
One atom of each set of equivalent atoms:
Si: 0.0000 0.0000 0.0000 x2  5 Ir 2.56-2.73, 5 Tc 2.57-2.72, 2 Si 2.79
Tc: 0.0000 0.0000 0.6695 x2  5 Si 2.57-2.72, 5 Ir 2.64-2.69, 2 Tc 2.79
Ir: 0.0000 0.0000 0.3298 x2  5 Si 2.56-2.73, 5 Tc 2.64-2.69, 2 Ir 2.79

---

We find 1 to be the most stable, with the next structure 201 meV per atom higher.